{"formula": "MnSiF2", "functional": "PBE+U", "state": "relaxed", "cell": [[2.837, 0.000, 0.000], [-1.418, 2.457, 0.000], [0.000, 0.000, 23.292]], "species": ["Mn", "Mn", "Mn", "Si", "Si", "Si", "F", "F", "F", "F", "F", "F"], "fractional_positions": [[0.000, 0.000, 0.000], [0.333, 0.667, 0.667], [0.667, 0.333, 0.333], [0.000, 0.000, 0.500], [0.333, 0.667, 0.167], [0.667, 0.333, 0.833], [0.000, 0.000, 0.424], [0.000, 0.000, 0.576], [0.333, 0.667, 0.091], [0.333, 0.667, 0.242], [0.667, 0.333, 0.758], [0.667, 0.333, 0.909]], "m_tot_mub_per_fu": 4.86, "total_energy_ev_per_atom": -5.43, "vol_a3_per_cell": 162.32}

***

{"formula": "MnSiF2", "functional": "PBE+U", "state": "relaxed", "cell": [[6.115, 0.000, 0.000], [0.000, 6.115, 0.000], [0.000, 0.000, 6.115]], "species": ["Mn", "Mn", "Mn", "Mn", "Si", "Si", "Si", "Si", "F", "F", "F", "F", "F", "F", "F", "F"], "fractional_positions": [[0.000, 0.000, 0.000], [0.000, 0.500, 0.500], [0.500, 0.000, 0.500], [0.500, 0.500, 0.000], [0.000, 0.000, 0.500], [0.000, 0.500, 0.000], [0.500, 0.000, 0.000], [0.500, 0.500, 0.500], [0.250, 0.250, 0.250], [0.250, 0.250, 0.750], [0.250, 0.750, 0.250], [0.250, 0.750, 0.750], [0.750, 0.250, 0.250], [0.750, 0.250, 0.750], [0.750, 0.750, 0.250], [0.750, 0.750, 0.750]], "m_tot_mub_per_fu": 5.00, "total_energy_ev_per_atom": -4.86, "vol_a3_per_cell": 228.68}

***

{"formula": "MnSiF2", "functional": "PBE+U", "state": "relaxed", "cell": [[5.739, 0.000, 0.000], [0.000, 5.739, 0.000], [0.000, 0.000, 9.416]], "species": ["Mn", "Mn", "Mn", "Mn", "Si", "Si", "Si", "Si", "F", "F", "F", "F", "F", "F", "F", "F"], "fractional_positions": [[0.000, 0.000, 0.000], [0.000, 0.500, 0.250], [0.500, 0.000, 0.750], [0.500, 0.500, 0.500], [0.000, 0.000, 0.500], [0.000, 0.500, 0.750], [0.500, 0.000, 0.250], [0.500, 0.500, 0.000], [0.134, 0.250, 0.125], [0.250, 0.634, 0.375], [0.250, 0.866, 0.875], [0.366, 0.250, 0.625], [0.634, 0.750, 0.625], [0.750, 0.134, 0.875], [0.750, 0.366, 0.375], [0.866, 0.750, 0.125]], "m_tot_mub_per_fu": 4.97, "total_energy_ev_per_atom": -5.19, "vol_a3_per_cell": 310.09}